NdTaPO: optimized geometry, PBE.

```
data_NdTaPO
_symmetry_space_group_name_H-M 'P 4/n m m'
_symmetry_Int_Tables_number 129
_cell_length_a 4.152
_cell_length_b 4.152
_cell_length_c 7.803
_cell_angle_alpha 90.00
_cell_angle_beta 90.00
_cell_angle_gamma 90.00
loop_
_symmetry_equiv_pos_as_xyz
'x,y,z'
'-x,-y,-z'
'-y+1/2,x,z'
'y+1/2,-x,-z'
'-x+1/2,-y+1/2,z'
'x+1/2,y+1/2,-z'
'y,-x+1/2,z'
'-y,x+1/2,-z'
'x+1/2,-y,-z'
'-x+1/2,y,z'
'-y,-x,-z'
'y,x,z'
'-x,y+1/2,-z'
'x,-y+1/2,z'
'y+1/2,x+1/2,-z'
'-y+1/2,-x+1/2,z'
loop_
_atom_site_label
_atom_site_fract_x
_atom_site_fract_y
_atom_site_fract_z
_atom_site_occupancy
Nd1 0.250 0.750 0.000 1
Ta1 0.250 0.250 0.405 1
P1 0.250 0.250 0.740 1
O1 0.250 0.750 0.500 1
```

Summary:
Total DFT energy (no corrections) (eV per cell): -59.83
Energy above the most stable polymorph in this dataset (meV per atom): 1137
Crystal system: tetragonal